DFT (PBE) results for Li2AgIBr6 after structural relaxation.

```
data_Li2AgIBr6
_space_group_name_H-M_alt 'P 1'
_space_group_IT_number 1
_cell_length_a 6.956
_cell_length_b 7.419
_cell_length_c 7.758
_cell_angle_alpha 83.95
_cell_angle_beta 67.11
_cell_angle_gamma 68.14
loop_
_space_group_symop_operation_xyz
'x,y,z'
loop_
_atom_site_label
_atom_site_fract_x
_atom_site_fract_y
_atom_site_fract_z
_atom_site_occupancy
Li1 0.000 0.000 0.000 1
Li2 0.001 0.541 0.626 1
Ag1 0.563 0.126 0.727 1
I1 0.528 0.697 0.321 1
Br1 0.121 0.287 0.852 1
Br2 0.325 0.464 0.296 1
Br3 0.341 0.963 0.114 1
Br4 0.719 0.434 0.556 1
Br5 0.743 0.934 0.340 1
Br6 0.938 0.869 0.751 1
```

Computed properties:
Final energy ... -2.478 eV per atom
Energy relative to the elements, uncorrected ... -0.6516 eV per atom

---

DFT (PBE) results for LiAg2IBr6 after structural relaxation.

```
data_LiAg2IBr6
_space_group_name_H-M_alt 'P 1'
_space_group_IT_number 1
_cell_length_a 7.242
_cell_length_b 7.354
_cell_length_c 7.740
_cell_angle_alpha 86.96
_cell_angle_beta 65.83
_cell_angle_gamma 68.01
loop_
_space_group_symop_operation_xyz
'x,y,z'
loop_
_atom_site_label
_atom_site_fract_x
_atom_site_fract_y
_atom_site_fract_z
_atom_site_occupancy
Li1 0.000 0.000 0.000 1
Ag1 0.399 0.390 0.975 1
Ag2 0.422 0.878 0.329 1
I1 0.944 0.546 0.645 1
Br1 0.154 0.272 0.862 1
Br2 0.159 0.781 0.667 1
Br3 0.310 0.765 0.079 1
Br4 0.582 0.153 0.189 1
Br5 0.732 0.809 0.467 1
Br6 0.767 0.300 0.614 1
```

Computed properties:
Final energy ... -2.342 eV per atom
Energy relative to the elements, uncorrected ... -0.4213 eV per atom